K2ZrZn: relaxed, PBE.

Cell lengths 3.123, 6.155, 6.562 Å; angles 90.00, 90.00, 90.00 degrees
Element x y z (fractional)
K 0.000 0.000 0.242
K 0.000 0.000 0.758
Zr 0.500 0.500 0.500
Zn 0.500 0.500 0.000

Values from the calculation:
The energy relative to the elements comes out at 783 meV/atom. Its calculated total energy is -2.22 eV/atom.

---

KZr2Zn: relaxed, PBE.

Cell lengths 3.051, 4.649, 8.281 Å; angles 90.00, 99.69, 90.00 degrees
Element x y z (fractional)
K 0.000 0.000 0.000
Zr 0.376 0.500 0.651
Zr 0.624 0.500 0.349
Zn 0.000 0.000 0.500

Values from the calculation:
The energy relative to the elements comes out at 480 meV/atom. Its calculated total energy is -4.39 eV/atom.

---

KZr2Zn: relaxed, PBE.

Cell lengths 11.801, 11.801, 11.801 Å; angles 159.24, 159.24, 29.52 degrees
Element x y z (fractional)
K 0.000 0.000 0.000
K 0.750 0.250 0.500
Zr 0.150 0.625 0.025
Zr 0.375 0.400 0.525
Zr 0.600 0.125 0.975
Zr 0.875 0.850 0.475
Zn 0.250 0.750 0.500
Zn 0.500 0.500 0.000

Values from the calculation:
The energy relative to the elements comes out at 807 meV/atom. Its calculated total energy is -4.06 eV/atom.

---

KZr2Zn: relaxed, PBE.

Cell lengths 3.392, 3.392, 9.484 Å; angles 90.00, 90.00, 90.00 degrees
Element x y z (fractional)
K 0.000 0.000 0.000
Zr 0.000 0.000 0.432
Zr 0.500 0.500 0.637
Zn 0.500 0.500 0.270

Values from the calculation:
The energy relative to the elements comes out at 210 meV/atom. Its calculated total energy is -4.66 eV/atom.

---

K2ZrZn: relaxed, PBE.

Cell lengths 7.734, 7.734, 7.734 Å; angles 156.10, 129.67, 56.46 degrees
Element x y z (fractional)
K 0.000 0.000 0.000
K 0.702 0.202 0.500
Zr 0.311 0.811 0.500
Zn 0.471 0.471 0.000

Values from the calculation:
The energy relative to the elements comes out at 608 meV/atom. Its calculated total energy is -2.40 eV/atom.

---

KZr2Zn: relaxed, PBE.

Cell lengths 4.488, 4.488, 4.772 Å; angles 90.00, 90.00, 90.00 degrees
Element x y z (fractional)
K 0.000 0.000 0.000
Zr 0.000 0.500 0.500
Zr 0.500 0.000 0.500
Zn 0.500 0.500 0.000

Values from the calculation:
The energy relative to the elements comes out at 780 meV/atom. Its calculated total energy is -4.09 eV/atom.

---

K2ZrZn: relaxed, PBE.

Cell lengths 13.055, 13.055, 13.055 Å; angles 14.85, 14.85, 14.85 degrees
Element x y z (fractional)
K 0.246 0.246 0.246
K 0.754 0.754 0.754
Zr 0.000 0.000 0.000
Zn 0.500 0.500 0.500

Values from the calculation:
The energy relative to the elements comes out at 665 meV/atom. Its calculated total energy is -2.34 eV/atom.

---

K2ZrZn: relaxed, PBE.

Cell lengths 7.209, 7.209, 3.243 Å; angles 101.87, 101.87, 126.69 degrees
Element x y z (fractional)
K 0.000 0.500 0.000
K 0.500 0.000 0.000
Zr 0.000 0.000 0.500
Zn 0.500 0.500 0.500

Values from the calculation:
The energy relative to the elements comes out at 747 meV/atom. Its calculated total energy is -2.26 eV/atom.

---

KZr2Zn: relaxed, PBE.

Cell lengths 3.109, 3.109, 10.811 Å; angles 90.00, 90.00, 90.00 degrees
Element x y z (fractional)
K 0.000 0.000 0.000
Zr 0.500 0.500 0.327
Zr 0.500 0.500 0.673
Zn 0.000 0.000 0.500

Values from the calculation:
The energy relative to the elements comes out at 341 meV/atom. Its calculated total energy is -4.53 eV/atom.

---

KZrZn: relaxed, PBE.

Cell lengths 5.007, 5.007, 5.007 Å; angles 60.00, 60.00, 60.00 degrees
Element x y z (fractional)
K 0.000 0.000 0.000
Zr 0.500 0.500 0.500
Zn 0.250 0.250 0.250

Values from the calculation:
The energy above the most stable polymorph in this dataset is 703 meV per atom. The energy relative to the elements comes out at 1027 meV/atom. Its calculated total energy is -2.61 eV/atom.

---

KZr2Zn: relaxed, PBE.

Cell lengths 6.711, 6.711, 6.711 Å; angles 153.16, 132.51, 55.39 degrees
Element x y z (fractional)
K 0.000 0.000 0.000
Zr 0.288 0.788 0.500
Zr 0.712 0.212 0.500
Zn 0.500 0.500 0.000

Values from the calculation:
The energy relative to the elements comes out at 409 meV/atom. Its calculated total energy is -4.46 eV/atom.

---

K2ZrZn: relaxed, PBE.

Cell lengths 4.409, 4.409, 6.245 Å; angles 90.00, 90.00, 90.00 degrees
Element x y z (fractional)
K 0.000 0.500 0.000
K 0.500 0.000 0.000
Zr 0.000 0.000 0.500
Zn 0.500 0.500 0.500

Values from the calculation:
The energy relative to the elements comes out at 763 meV/atom. Its calculated total energy is -2.24 eV/atom.

---

KZr2Zn: relaxed, PBE.

Cell lengths 6.272, 6.272, 2.868 Å; angles 90.00, 90.00, 120.08 degrees
Element x y z (fractional)
K 0.000 0.000 0.000
Zr 0.000 0.500 0.500
Zr 0.500 0.000 0.500
Zn 0.500 0.500 0.000

Values from the calculation:
The energy relative to the elements comes out at 757 meV/atom. Its calculated total energy is -4.11 eV/atom.

---

KZrZn4: relaxed, PBE.

Cell lengths 5.461, 5.461, 5.461 Å; angles 60.00, 60.00, 60.00 degrees
Element x y z (fractional)
K 0.000 0.000 0.000
Zr 0.250 0.250 0.250
Zn 0.133 0.622 0.622
Zn 0.622 0.133 0.622
Zn 0.622 0.622 0.133
Zn 0.622 0.622 0.622

Values from the calculation:
The energy relative to the elements comes out at 175 meV/atom. Its calculated total energy is -2.28 eV/atom.

---

KZr2Zn: relaxed, PBE.

Cell lengths 6.563, 6.563, 6.563 Å; angles 153.13, 124.85, 62.39 degrees
Element x y z (fractional)
K 0.000 0.000 0.000
Zr 0.471 0.471 0.000
Zr 0.698 0.198 0.500
Zn 0.252 0.752 0.500

Values from the calculation:
The energy relative to the elements comes out at 655 meV/atom. Its calculated total energy is -4.21 eV/atom.